Entry 1:
! LaPtO6 (PBE, optimized geometry); values from VASP
&SYSTEM
  ibrav = 0, nat = 8, ntyp = 3
/
ATOMIC_SPECIES
La 138.91 La.upf
Pt 195.08 Pt.upf
O 16.00 O.upf
CELL_PARAMETERS angstrom
3.488 2.014 2.362
-3.488 2.014 2.362
0.000 -4.028 2.362
ATOMIC_POSITIONS angstrom
La 0.000 0.000 0.000
Pt 0.000 0.000 3.542
O 0.000 -1.533 2.384
O -1.328 0.767 2.384
O -1.328 -0.767 4.701
O 1.328 0.767 2.384
O 1.328 -0.767 4.701
O 0.000 1.533 4.701
! Uncorrected energy, eV per atom: -5.9543
! Magnetic moment, μB per atom: 0.000

Entry 2:
! Rb3La2PtO6 (PBE, optimized geometry); values from VASP
&SYSTEM
  ibrav = 0, nat = 12, ntyp = 4
/
ATOMIC_SPECIES
Rb 85.47 Rb.upf
La 138.91 La.upf
Pt 195.08 Pt.upf
O 16.00 O.upf
CELL_PARAMETERS angstrom
3.529 -5.158 0.000
3.529 5.158 0.000
-3.390 0.000 6.522
ATOMIC_POSITIONS angstrom
Rb 0.000 0.000 0.000
Rb 3.529 1.675 0.000
Rb 3.529 -1.675 0.000
La 1.834 3.454 3.261
La 1.834 -3.454 3.261
Pt 1.834 0.000 3.261
O 0.796 1.494 2.317
O -1.303 0.000 4.791
O 0.796 -1.494 2.317
O 2.872 1.494 4.205
O 4.972 0.000 1.731
O 2.872 -1.494 4.205
! Uncorrected energy, eV per atom: -5.9887
! Magnetic moment, μB per atom: 0.091

Entry 3:
! Rb2LaPtO4 (PBE, optimized geometry); values from VASP
&SYSTEM
  ibrav = 0, nat = 16, ntyp = 4
/
ATOMIC_SPECIES
Rb 85.47 Rb.upf
La 138.91 La.upf
Pt 195.08 Pt.upf
O 16.00 O.upf
CELL_PARAMETERS angstrom
0.000 7.243 11.938
3.228 0.000 11.938
3.228 7.243 0.000
ATOMIC_POSITIONS angstrom
Rb 2.421 5.432 1.570
Rb 4.035 9.053 7.539
Rb 2.421 5.432 16.337
Rb 4.035 9.053 22.306
La 0.807 1.811 2.985
La 5.649 12.675 20.892
Pt 2.421 5.432 8.954
Pt 4.035 9.053 14.923
O 3.878 4.045 8.961
O 3.878 6.819 8.947
O 5.492 7.666 14.916
O 5.492 10.441 14.930
O 0.963 4.045 8.947
O 0.963 6.819 8.961
O 2.577 7.666 14.930
O 2.577 10.441 14.916
! Uncorrected energy, eV per atom: -5.5260
! Magnetic moment, μB per atom: 0.095

Entry 4:
! Rb2La2PtO6 (PBE, optimized geometry); values from VASP
&SYSTEM
  ibrav = 0, nat = 11, ntyp = 4
/
ATOMIC_SPECIES
Rb 85.47 Rb.upf
La 138.91 La.upf
Pt 195.08 Pt.upf
O 16.00 O.upf
CELL_PARAMETERS angstrom
3.079 -5.244 0.000
3.079 5.244 0.000
-1.697 0.000 6.694
ATOMIC_POSITIONS angstrom
Rb 3.079 3.583 0.000
Rb 3.079 -3.583 0.000
La 2.231 1.717 3.347
La 2.231 -1.717 3.347
Pt -0.848 0.000 3.347
O 0.060 1.579 4.441
O 0.916 0.000 2.189
O 0.060 -1.579 4.441
O 4.401 1.579 2.253
O 3.545 0.000 4.505
O 4.401 -1.579 2.253
! Uncorrected energy, eV per atom: -6.3459
! Magnetic moment, μB per atom: 0.000

Entry 5:
! RbLa2PtO5 (PBE, optimized geometry); values from VASP
&SYSTEM
  ibrav = 0, nat = 18, ntyp = 4
/
ATOMIC_SPECIES
Rb 85.47 Rb.upf
La 138.91 La.upf
Pt 195.08 Pt.upf
O 16.00 O.upf
CELL_PARAMETERS angstrom
-3.492 3.492 6.159
3.492 -3.492 6.159
3.492 3.492 -6.159
ATOMIC_POSITIONS angstrom
Rb 0.000 0.000 3.080
Rb 0.000 0.000 9.239
La 4.752 1.259 0.000
La 1.259 2.233 0.000
La 2.233 1.259 6.159
La -1.259 2.233 6.159
Pt 3.492 0.000 3.080
Pt 0.000 3.492 3.080
O 0.000 0.000 0.000
O 2.610 0.883 -1.468
O 2.610 0.883 1.468
O 2.610 -0.883 4.692
O 2.610 -0.883 7.627
O 0.000 0.000 6.159
O 0.883 4.375 -1.468
O 0.883 4.375 1.468
O 0.883 2.610 4.692
O 0.883 2.610 7.627
! Uncorrected energy, eV per atom: -6.7394
! Magnetic moment, μB per atom: 0.115

Entry 6:
! LaPtSO2 (PBE, optimized geometry); values from VASP
&SYSTEM
  ibrav = 0, nat = 5, ntyp = 4
/
ATOMIC_SPECIES
La 138.91 La.upf
Pt 195.08 Pt.upf
S 32.06 S.upf
O 16.00 O.upf
CELL_PARAMETERS angstrom
4.103 0.000 0.000
0.000 4.103 0.000
0.000 0.000 6.515
ATOMIC_POSITIONS angstrom
La 0.000 0.000 0.000
Pt 2.052 2.052 3.258
S 0.000 0.000 3.258
O 0.000 2.052 0.000
O 2.052 0.000 0.000
! Uncorrected energy, eV per atom: -5.5701
! Magnetic moment, μB per atom: 0.091

Entry 7:
! LaSc4Pt3O12 (PBE, optimized geometry); values from VASP
&SYSTEM
  ibrav = 0, nat = 20, ntyp = 4
/
ATOMIC_SPECIES
La 138.91 La.upf
Sc 44.96 Sc.upf
Pt 195.08 Pt.upf
O 16.00 O.upf
CELL_PARAMETERS angstrom
-3.941 3.941 3.941
3.941 -3.941 3.941
3.941 3.941 -3.941
ATOMIC_POSITIONS angstrom
La 0.000 0.000 0.000
Sc 1.970 1.970 -1.970
Sc 1.970 -1.970 1.970
Sc -1.970 1.970 1.970
Sc 1.970 1.970 1.970
Pt 3.941 0.000 0.000
Pt 0.000 3.941 0.000
Pt 0.000 0.000 3.941
O 3.941 -1.548 2.637
O 2.393 1.304 0.000
O 5.489 1.304 0.000
O 2.637 3.941 -1.548
O 1.304 0.000 2.393
O 0.000 2.393 1.304
O 3.941 1.548 2.637
O 2.637 3.941 1.548
O 1.304 0.000 5.489
O -1.548 2.637 3.941
O 1.548 2.637 3.941
O 0.000 5.489 1.304
! Uncorrected energy, eV per atom: -7.6617
! Magnetic moment, μB per atom: 0.109

Entry 8:
! La2ScPtO6 (PBE, optimized geometry); values from VASP
&SYSTEM
  ibrav = 0, nat = 20, ntyp = 4
/
ATOMIC_SPECIES
La 138.91 La.upf
Sc 44.96 Sc.upf
Pt 195.08 Pt.upf
O 16.00 O.upf
CELL_PARAMETERS angstrom
5.710 0.000 0.000
0.000 8.700 0.000
0.000 0.000 5.772
ATOMIC_POSITIONS angstrom
La 1.427 0.362 1.211
La 1.427 3.988 1.211
La 4.282 4.712 4.561
La 4.282 8.338 4.561
Sc 1.427 6.525 4.424
Sc 4.282 2.175 1.348
Pt 1.427 2.175 4.167
Pt 4.282 6.525 1.604
O 0.115 2.175 5.709
O 0.140 2.175 2.613
O 1.427 4.464 4.677
O 1.427 8.585 4.677
O 2.715 2.175 2.613
O 2.740 2.175 5.709
O 2.970 6.525 0.063
O 2.995 6.525 3.158
O 4.282 0.114 1.095
O 4.282 4.236 1.095
O 5.570 6.525 3.158
O 5.595 6.525 0.063
! Uncorrected energy, eV per atom: -7.6989
! Magnetic moment, μB per atom: 0.101

Entry 9:
! LaSc2PtO (PBE, optimized geometry); values from VASP
&SYSTEM
  ibrav = 0, nat = 5, ntyp = 4
/
ATOMIC_SPECIES
La 138.91 La.upf
Sc 44.96 Sc.upf
Pt 195.08 Pt.upf
O 16.00 O.upf
CELL_PARAMETERS angstrom
4.917 0.000 0.000
0.000 4.917 0.000
0.000 0.000 5.985
ATOMIC_POSITIONS angstrom
La 0.000 0.000 0.000
Sc 0.000 2.458 2.992
Sc 2.458 0.000 2.992
Pt 0.000 0.000 2.992
O 2.458 2.458 0.000
! ΔE to the lowest computed polymorph, meV per atom: 1326
! Uncorrected energy, eV per atom: -5.9731
! Magnetic moment, μB per atom: 0.000

Entry 10:
! LaSc2PtO (PBE, optimized geometry); values from VASP
&SYSTEM
  ibrav = 0, nat = 5, ntyp = 4
/
ATOMIC_SPECIES
La 138.91 La.upf
Sc 44.96 Sc.upf
Pt 195.08 Pt.upf
O 16.00 O.upf
CELL_PARAMETERS angstrom
4.358 0.000 0.000
0.000 4.358 0.000
0.000 0.000 5.013
ATOMIC_POSITIONS angstrom
La 0.000 0.000 0.000
Sc 0.000 2.179 2.507
Sc 2.179 0.000 2.507
Pt 2.179 2.179 0.000
O 0.000 0.000 2.507
! ΔE to the lowest computed polymorph, meV per atom: 0
! Uncorrected energy, eV per atom: -7.2987
! Magnetic moment, μB per atom: 0.000

Entry 11:
! Sr2LaPtO5 (PBE, optimized geometry); values from VASP
&SYSTEM
  ibrav = 0, nat = 18, ntyp = 4
/
ATOMIC_SPECIES
Sr 87.62 Sr.upf
La 138.91 La.upf
Pt 195.08 Pt.upf
O 16.00 O.upf
CELL_PARAMETERS angstrom
-3.310 3.310 6.324
3.310 -3.310 6.324
3.310 3.310 -6.324
ATOMIC_POSITIONS angstrom
Sr 4.425 1.115 0.000
Sr 1.115 2.195 0.000
Sr 2.195 1.115 6.324
Sr -1.115 2.195 6.324
La 0.000 0.000 3.162
La 0.000 0.000 9.486
Pt 3.310 0.000 3.162
Pt 0.000 3.310 3.162
O 0.000 0.000 0.000
O 2.311 0.998 -1.725
O 2.311 -0.998 4.599
O 2.311 0.998 1.725
O 2.311 -0.998 8.049
O 0.000 0.000 6.324
O 0.998 4.308 -1.725
O 0.998 2.311 4.599
O 0.998 4.308 1.725
O 0.998 2.311 8.049
! Uncorrected energy, eV per atom: -6.2850
! Magnetic moment, μB per atom: 0.117

Entry 12:
! La2TaPtO (PBE, optimized geometry); values from VASP
&SYSTEM
  ibrav = 0, nat = 5, ntyp = 4
/
ATOMIC_SPECIES
La 138.91 La.upf
Ta 180.95 Ta.upf
Pt 195.08 Pt.upf
O 16.00 O.upf
CELL_PARAMETERS angstrom
5.157 0.000 0.000
0.000 5.157 0.000
0.000 0.000 4.043
ATOMIC_POSITIONS angstrom
La 0.000 2.578 0.000
La 2.578 0.000 0.000
Ta 0.000 0.000 2.022
Pt 2.578 2.578 2.022
O 0.000 0.000 0.000
! Uncorrected energy, eV per atom: -7.6776
! Magnetic moment, μB per atom: 0.000

Entry 13:
! LaTaPtO2 (PBE, optimized geometry); values from VASP
&SYSTEM
  ibrav = 0, nat = 5, ntyp = 4
/
ATOMIC_SPECIES
La 138.91 La.upf
Ta 180.95 Ta.upf
Pt 195.08 Pt.upf
O 16.00 O.upf
CELL_PARAMETERS angstrom
4.125 0.000 0.000
0.000 4.125 0.000
0.000 0.000 6.581
ATOMIC_POSITIONS angstrom
La 0.000 0.000 0.000
Ta 2.063 2.063 3.290
Pt 0.000 0.000 3.290
O 0.000 2.063 0.000
O 2.063 0.000 0.000
! Uncorrected energy, eV per atom: -6.8780
! Magnetic moment, μB per atom: 0.313

Entry 14:
! LaTe2PtO (PBE, optimized geometry); values from VASP
&SYSTEM
  ibrav = 0, nat = 5, ntyp = 4
/
ATOMIC_SPECIES
La 138.91 La.upf
Te 127.60 Te.upf
Pt 195.08 Pt.upf
O 16.00 O.upf
CELL_PARAMETERS angstrom
6.287 0.000 0.000
0.000 6.287 0.000
0.000 0.000 4.091
ATOMIC_POSITIONS angstrom
La 0.000 0.000 0.000
Te 0.000 3.143 0.000
Te 3.143 0.000 0.000
Pt 3.143 3.143 2.046
O 0.000 0.000 2.046
! Uncorrected energy, eV per atom: -4.6328
! Magnetic moment, μB per atom: 0.000

Entry 15:
! LaTlPtO6 (PBE, optimized geometry); values from VASP
&SYSTEM
  ibrav = 0, nat = 18, ntyp = 4
/
ATOMIC_SPECIES
La 138.91 La.upf
Tl 204.38 Tl.upf
Pt 195.08 Pt.upf
O 16.00 O.upf
CELL_PARAMETERS angstrom
5.097 0.000 0.000
0.000 5.097 0.000
0.000 0.000 10.441
ATOMIC_POSITIONS angstrom
La 0.000 0.000 0.000
La 2.549 2.549 5.220
Tl 0.000 0.000 6.901
Tl 2.549 2.549 1.681
Pt 0.000 0.000 3.443
Pt 2.549 2.549 8.664
O 0.913 0.913 4.945
O 0.956 0.956 1.929
O 1.183 1.183 8.651
O 1.365 3.732 3.431
O 1.593 3.505 7.149
O 1.636 3.461 10.165
O 3.461 1.636 10.165
O 3.505 1.593 7.149
O 3.732 1.365 3.431
O 3.914 3.914 8.651
O 4.141 4.141 1.929
O 4.185 4.185 4.945
! Uncorrected energy, eV per atom: -5.9574
! Magnetic moment, μB per atom: 0.202

Entry 16:
! La2Tl2PtO6 (PBE, optimized geometry); values from VASP
&SYSTEM
  ibrav = 0, nat = 11, ntyp = 4
/
ATOMIC_SPECIES
La 138.91 La.upf
Tl 204.38 Tl.upf
Pt 195.08 Pt.upf
O 16.00 O.upf
CELL_PARAMETERS angstrom
3.078 -5.274 0.000
3.078 5.274 0.000
-1.680 0.000 6.498
ATOMIC_POSITIONS angstrom
La 3.078 3.546 0.000
La 3.078 -3.546 0.000
Tl 2.238 1.675 3.249
Tl 2.238 -1.675 3.249
Pt 3.078 0.000 0.000
O 0.482 1.577 5.463
O 1.363 0.000 1.225
O 0.482 -1.577 5.463
O 3.995 1.577 1.034
O 3.114 0.000 5.272
O 3.995 -1.577 1.034
! Uncorrected energy, eV per atom: -6.3300
! Magnetic moment, μB per atom: 0.000

Entry 17:
! LaYPtO2 (PBE, optimized geometry); values from VASP
&SYSTEM
  ibrav = 0, nat = 5, ntyp = 4
/
ATOMIC_SPECIES
La 138.91 La.upf
Y 88.91 Y.upf
Pt 195.08 Pt.upf
O 16.00 O.upf
CELL_PARAMETERS angstrom
4.389 0.000 0.000
0.000 4.389 0.000
0.000 0.000 5.319
ATOMIC_POSITIONS angstrom
La 0.000 0.000 0.000
Y 2.194 2.194 2.660
Pt 2.194 2.194 0.000
O 0.000 2.194 2.660
O 2.194 0.000 2.660
! Uncorrected energy, eV per atom: -7.3504
! Magnetic moment, μB per atom: 0.000

Entry 18:
! LaZrPtO2 (PBE, optimized geometry); values from VASP
&SYSTEM
  ibrav = 0, nat = 5, ntyp = 4
/
ATOMIC_SPECIES
La 138.91 La.upf
Zr 91.22 Zr.upf
Pt 195.08 Pt.upf
O 16.00 O.upf
CELL_PARAMETERS angstrom
4.132 0.000 0.000
0.000 4.132 0.000
0.000 0.000 9.477
ATOMIC_POSITIONS angstrom
La 0.000 0.000 0.000
Zr 0.000 0.000 4.739
Pt 2.066 2.066 4.739
O 0.000 2.066 0.000
O 2.066 0.000 0.000
! Uncorrected energy, eV per atom: -6.5667
! Magnetic moment, μB per atom: 0.124

Entry 19:
! La2PuO5 (PBE, optimized geometry); values from VASP
&SYSTEM
  ibrav = 0, nat = 16, ntyp = 3
/
ATOMIC_SPECIES
La 138.91 La.upf
Pu 244.00 Pu.upf
O 16.00 O.upf
CELL_PARAMETERS angstrom
6.507 0.000 0.000
0.000 10.167 0.000
0.000 0.000 3.540
ATOMIC_POSITIONS angstrom
La 0.175 1.724 0.000
La 3.078 6.808 0.000
La 3.429 3.359 0.000
La 6.331 8.443 0.000
Pu 0.000 5.084 1.770
Pu 3.253 0.000 1.770
O 0.000 0.000 1.770
O 1.028 4.171 0.000
O 1.078 7.075 1.770
O 2.176 1.991 1.770
O 2.226 9.254 0.000
O 3.253 5.084 1.770
O 4.281 0.913 0.000
O 4.331 8.176 1.770
O 5.429 3.092 1.770
O 5.479 5.997 0.000
! Uncorrected energy, eV per atom: -9.3954
! Magnetic moment, μB per atom: 0.500

The records above give, respectively, E_form (uncorrected) values of -0.865; -1.943; -1.434; -2.020; -2.111; -0.568; -2.268; -2.501; -0.255; -1.581; -1.938; -1.136; -0.331; -0.191; -1.170; -1.750; -1.881; -0.680; -3.273 eV/atom.